[1]
! Dy2Re2O5 GGA-PBE relaxed; values from VASP
&SYSTEM
  ibrav = 0, nat = 9, ntyp = 3
/
ATOMIC_SPECIES
Dy 162.50 Dy.upf
O 16.00 O.upf
Re 186.21 Re.upf
ATOMIC_POSITIONS crystal
Dy 0.000 0.000 0.000
Dy 0.500 0.000 0.000
O 0.242 0.500 0.000
O 0.758 0.500 0.000
O 0.242 0.000 0.500
O 0.758 0.000 0.500
O 0.500 0.500 0.500
Re 0.176 0.500 0.500
Re 0.824 0.500 0.500
CELL_PARAMETERS angstrom
-1.763 2.978 5.778
-3.540 -1.806 -0.150
1.483 -3.076 2.038
! Magnetization in μB per atom: 0.00
! Relative energy among the computed polymorphs in eV/atom: 0.000
! Calculated total energy in eV/atom: -8.39

***

[2]
! Ba3SmIr2O9 GGA-PBE relaxed; values from VASP
&SYSTEM
  ibrav = 0, nat = 30, ntyp = 4
/
ATOMIC_SPECIES
Ba 137.33 Ba.upf
Ir 192.22 Ir.upf
O 16.00 O.upf
Sm 150.36 Sm.upf
ATOMIC_POSITIONS crystal
Ba 0.667 0.333 0.127
Ba 0.000 0.000 0.250
Ba 0.667 0.333 0.373
Ba 0.333 0.667 0.627
Ba 0.000 0.000 0.750
Ba 0.333 0.667 0.873
Ir 0.333 0.667 0.160
Ir 0.333 0.667 0.340
Ir 0.667 0.333 0.660
Ir 0.667 0.333 0.840
O 0.274 0.137 0.107
O 0.863 0.137 0.107
O 0.863 0.726 0.107
O 0.087 0.543 0.250
O 0.457 0.543 0.250
O 0.457 0.913 0.250
O 0.274 0.137 0.393
O 0.863 0.137 0.393
O 0.863 0.726 0.393
O 0.137 0.274 0.607
O 0.137 0.863 0.607
O 0.726 0.863 0.607
O 0.543 0.087 0.750
O 0.913 0.457 0.750
O 0.543 0.457 0.750
O 0.137 0.274 0.893
O 0.137 0.863 0.893
O 0.726 0.863 0.893
Sm 0.000 0.000 0.000
Sm 0.000 0.000 0.500
CELL_PARAMETERS angstrom
-1.020 -5.530 3.740
3.517 -0.414 -5.750
12.768 2.792 7.609
! Magnetization in μB per atom: 0.20
! Calculated total energy in eV/atom: -5.81

***

[3]
! Gd3Zn2CdPt2Au GGA-PBE relaxed; values from VASP
&SYSTEM
  ibrav = 0, nat = 9, ntyp = 5
/
ATOMIC_SPECIES
Au 196.97 Au.upf
Cd 112.41 Cd.upf
Gd 157.25 Gd.upf
Pt 195.08 Pt.upf
Zn 65.41 Zn.upf
ATOMIC_POSITIONS crystal
Au 0.000 0.017 0.017
Cd 0.500 0.745 0.745
Gd 0.000 0.586 0.002
Gd 0.000 0.405 0.405
Gd 0.000 0.002 0.586
Pt 0.500 0.663 0.324
Pt 0.500 0.324 0.663
Zn 0.500 0.998 0.259
Zn 0.500 0.259 0.998
CELL_PARAMETERS angstrom
3.903 0.000 0.000
0.000 6.456 3.783
0.000 -6.456 3.783
! ΔE_f in eV/atom: -0.854
! Magnetization in μB per atom: 0.00
! Calculated total energy in eV/atom: -4.49

***

[4]
! InFeNiOs GGA-PBE relaxed; values from VASP
&SYSTEM
  ibrav = 0, nat = 4, ntyp = 4
/
ATOMIC_SPECIES
Fe 55.84 Fe.upf
In 114.82 In.upf
Ni 58.69 Ni.upf
Os 190.23 Os.upf
ATOMIC_POSITIONS crystal
Fe 0.750 0.750 0.750
In 0.000 0.000 0.000
Ni 0.250 0.250 0.250
Os 0.500 0.500 0.500
CELL_PARAMETERS angstrom
0.984 -4.111 -0.842
-1.634 -3.152 2.444
-2.995 -2.646 -1.614
! Magnetization in μB per atom: 0.80
! Relative energy among the computed polymorphs in eV/atom: 0.000
! Calculated total energy in eV/atom: -6.65

***

[5]
! Sm3PdPt8 GGA-PBE relaxed; values from VASP
&SYSTEM
  ibrav = 0, nat = 12, ntyp = 3
/
ATOMIC_SPECIES
Pd 106.42 Pd.upf
Pt 195.08 Pt.upf
Sm 150.36 Sm.upf
ATOMIC_POSITIONS crystal
Pd 0.132 0.132 0.132
Pt 0.563 0.563 0.058
Pt 0.562 0.062 0.062
Pt 0.062 0.562 0.062
Pt 0.312 0.312 0.312
Pt 0.062 0.062 0.562
Pt 0.563 0.058 0.563
Pt 0.058 0.563 0.563
Pt 0.811 0.811 0.811
Sm 0.012 0.012 0.012
Sm 0.491 0.491 0.491
Sm 0.622 0.622 0.622
CELL_PARAMETERS angstrom
2.715 1.567 8.895
-2.715 1.567 8.895
0.000 -3.134 8.895
! ΔE_f in eV/atom: -0.926
! Magnetization in μB per atom: 0.00
! Calculated total energy in eV/atom: -6.57

***

[6]
! Ge2Mo GGA-PBE relaxed; values from VASP
&SYSTEM
  ibrav = 0, nat = 6, ntyp = 2
/
ATOMIC_SPECIES
Ge 72.64 Ge.upf
Mo 95.94 Mo.upf
ATOMIC_POSITIONS crystal
Ge 0.625 0.625 0.125
Ge 0.625 0.125 0.625
Ge 0.125 0.625 0.625
Ge 0.625 0.625 0.625
Mo 0.000 0.000 0.000
Mo 0.250 0.250 0.250
CELL_PARAMETERS angstrom
-0.503 -1.315 5.006
0.949 3.509 3.718
-3.923 1.931 2.814
! Magnetization in μB per atom: 0.20
! Calculated total energy in eV/atom: -5.82

***

What ρ values result from the calculations? In sequence: 12.12, 6.06, 11.34, 12.30, 15.49, 8.06 g/cm³.